[1]
Pr5ZnCu2 | GGA-PBE | optimized geometry

Unit cell a=8.2669 b=8.2669 c=8.6448 alpha=118.56 beta=118.56 gamma=90.00
Atoms (fractional coordinates):
Pr1 0.4867 0.3035 0.2902
Pr2 0.0133 0.5133 0.7098
Pr3 0.9867 0.4867 0.2902
Pr4 0.0000 0.0000 0.0000
Pr5 0.6965 0.1965 0.7098
Pr6 0.3035 0.8035 0.2902
Pr7 0.8035 0.9867 0.2902
Pr8 0.5133 0.6965 0.7098
Pr9 0.1965 0.0133 0.7098
Pr10 0.5000 0.5000 0.0000
Zn1 0.7500 0.7500 0.5000
Zn2 0.2500 0.2500 0.5000
Cu1 0.1247 0.3753 0.0000
Cu2 0.6247 0.1247 0.0000
Cu3 0.3753 0.8753 0.0000
Cu4 0.8753 0.6247 0.0000

DFT formation energy, eV per atom: -0.12
Space-group type: I4/mcm
N(E_F), states/eV/f.u.: 9.411


[2]
GaP2S | GGA-PBE | optimized geometry

Unit cell a=4.4819 b=4.4819 c=4.4819 alpha=60.00 beta=60.00 gamma=60.00
Atoms (fractional coordinates):
Ga1 0.5000 0.5000 0.5000
S1 0.0000 0.0000 0.0000
P1 0.2500 0.2500 0.2500
P2 0.7500 0.7500 0.7500

Relative energy among the computed polymorphs, meV/atom: 368
Space-group type: Fm-3m
Formation energy without anion corrections, eV per atom: 0.67
N(E_F), states/eV/f.u.: 3.257


[3]
Zn2SiAgO4 | GGA-PBE | optimized geometry

Unit cell a=5.0043 b=5.0043 c=5.4074 alpha=117.56 beta=117.56 gamma=90.00
Atoms (fractional coordinates):
O1 0.5630 0.5630 0.7515
O2 0.1885 0.1885 0.7515
O3 0.8116 0.4370 0.2486
O4 0.4370 0.8116 0.2486
Ag1 0.0001 0.0001 0.0002
Zn1 0.2500 0.7500 0.5001
Zn2 0.7500 0.2500 0.5001
Si1 0.5000 0.5000 0.0001

Space-group type: I-42m
Formation energy without anion corrections, eV per atom: -1.49
N(E_F), states/eV/f.u.: 0.347


[4]
Sc2Zn | GGA-PBE | optimized geometry

Unit cell a=3.3127 b=5.8481 c=8.0779 alpha=58.82 beta=90.00 gamma=106.45
Atoms (fractional coordinates):
Sc1 0.1230 0.2459 0.3457
Sc2 0.3787 0.7574 0.7419
Sc3 0.6769 0.3537 0.6469
Sc4 0.9326 0.8652 0.0432
Zn1 0.6557 0.3114 0.0277
Zn2 0.3998 0.7997 0.3611

DFT formation energy, eV per atom: -0.19
Space-group type: C2/m
N(E_F), states/eV/f.u.: 4.194


[5]
Ba2TcTe | GGA-PBE | optimized geometry

Unit cell a=7.3352 b=7.3352 c=7.3352 alpha=149.20 beta=137.55 gamma=53.35
Atoms (fractional coordinates):
Te1 0.3206 0.8206 0.5000
Ba1 0.0012 0.0012 0.0000
Ba2 0.7181 0.2181 0.5000
Tc1 0.4601 0.4601 0.0000

Relative energy among the computed polymorphs, meV/atom: 86
Space-group type: Imm2
Formation energy without anion corrections, eV per atom: -0.04
N(E_F), states/eV/f.u.: 4.443


[6]
ReSeS | GGA-PBE | optimized geometry

Unit cell a=6.5093 b=6.6183 c=7.4662 alpha=71.70 beta=76.43 gamma=61.55
Atoms (fractional coordinates):
Se1 0.3825 0.1261 0.2902
Se2 0.6175 0.8739 0.7098
Se3 0.1113 0.3630 0.7691
Se4 0.8887 0.6370 0.2309
Re1 0.5626 0.6848 0.4910
Re2 0.4374 0.3152 0.5090
Re3 0.9905 0.7145 0.4977
Re4 0.0095 0.2855 0.5023
S1 0.8354 0.1441 0.3387
S2 0.1646 0.8559 0.6613
S3 0.3438 0.6699 0.2783
S4 0.6562 0.3301 0.7217

Space-group type: P-1
Formation energy without anion corrections, eV per atom: -0.48


[7]
TmTlCd | GGA-PBE | optimized geometry

Unit cell a=4.9091 b=4.9091 c=4.9091 alpha=60.00 beta=60.00 gamma=60.00
Atoms (fractional coordinates):
Tm1 0.0000 0.0000 0.0000
Tl1 0.2500 0.2500 0.2500
Cd1 0.5000 0.5000 0.5000

DFT formation energy, eV per atom: -0.13
Space-group type: F-43m
N(E_F), states/eV/f.u.: 0.592


[8]
KLa2Au | GGA-PBE | optimized geometry

Unit cell a=11.5304 b=11.5304 c=11.5304 alpha=21.07 beta=21.07 gamma=21.07
Atoms (fractional coordinates):
La1 0.5300 0.5300 0.5300
La2 0.9700 0.9700 0.9700
K1 0.7500 0.7500 0.7500
Au1 0.2500 0.2500 0.2500

DFT formation energy, eV per atom: -0.18
Relative energy among the computed polymorphs, meV/atom: 35
Space-group type: R-3m
N(E_F), states/eV/f.u.: 5.617


[9]
DyPaSn2 | GGA-PBE | optimized geometry

Unit cell a=3.3893 b=3.3893 c=8.9890 alpha=90.00 beta=90.00 gamma=90.00
Atoms (fractional coordinates):
Sn1 0.0000 0.0000 0.2514
Sn2 0.0000 0.0000 0.7486
Pa1 0.5000 0.5000 0.0000
Dy1 0.5000 0.5000 0.5000

DFT formation energy, eV per atom: -0.39
Relative energy among the computed polymorphs, meV/atom: 0
Space-group type: P4/mmm
N(E_F), states/eV/f.u.: 5.502


[10]
Pm12ErSc6 | GGA-PBE | optimized geometry

Unit cell a=9.0144 b=9.0144 c=9.0144 alpha=106.87 beta=106.87 gamma=106.87
Atoms (fractional coordinates):
Pm1 0.1208 0.8239 0.2849
Pm2 0.4222 0.5130 0.8061
Pm3 0.8061 0.4222 0.5130
Pm4 0.5778 0.4870 0.1939
Pm5 0.8792 0.1761 0.7151
Pm6 0.7151 0.8792 0.1761
Pm7 0.5130 0.8061 0.4222
Pm8 0.4870 0.1939 0.5778
Pm9 0.8239 0.2849 0.1208
Pm10 0.1939 0.5778 0.4870
Pm11 0.2849 0.1208 0.8239
Pm12 0.1761 0.7151 0.8792
Sc1 0.8107 0.5486 0.9191
Sc2 0.5486 0.9191 0.8107
Sc3 0.1893 0.4514 0.0809
Sc4 0.0809 0.1893 0.4514
Sc5 0.9191 0.8107 0.5486
Sc6 0.4514 0.0809 0.1893
Er1 0.0000 0.0000 0.0000

DFT formation energy, eV per atom: 0.27
Relative energy among the computed polymorphs, meV/atom: 40
Space-group type: R-3
N(E_F), states/eV/f.u.: 30.897